## Tl2WF8 (PBE with a Hubbard U)

Data for Tl2WF8 after structural relaxation.

Volume, Å³ per atom: 26.11
Final energy, eV/atom: -4.703

Cell: 13.2422 5.1862 8.6207 Å, 90.00 103.99 90.00°
Space group C2/m (No. 12)
Symmetry-distinct sites (fractional):
Tl 0.1592 0.0000 0.0704
W 0.0000 0.0000 0.5000
F 0.0704 0.2519 0.4103
F 0.1088 0.0000 0.6867
F 0.1785 0.5000 0.9953